Density functional theory data (PBE with a Hubbard U) for crystalline CaCeV2O8 at its relaxed geometry.

Computed properties:
DFT total energy   -92.2 eV/cell
N(E_F)   0.000 states/eV per cell
Offset from the most stable computed form   1.09 eV per formula unit
Volume   197.4 Å³/cell
ρ   3.45 Mg/m³

```
CaCeV2O8
1.0
5.7866 0.0000 0.0000
-2.8933 5.0114 0.0000
0.0000 0.0000 6.8078
Ca Ce V O
1 1 2 8
direct
0.0000 0.0000 0.0000
0.0000 0.0000 0.5000
0.6667 0.3333 0.1964
0.3333 0.6667 0.8036
0.3333 0.6667 0.0455
0.3276 0.1645 0.2749
0.8355 0.1631 0.2749
0.6667 0.3333 0.9545
0.1645 0.8369 0.7251
0.6724 0.8355 0.7251
0.1631 0.3276 0.7251
0.8369 0.6724 0.2749
```